Record 1
BaNiPt at its PBEsol-relaxed geometry, computed with meta-GGA SCAN. Values from VASP.

```
&SYSTEM
  ibrav = 0, nat = 3, ntyp = 3
/
ATOMIC_SPECIES
Ba 137.33 Ba.upf
Ni 58.69 Ni.upf
Pt 195.08 Pt.upf
ATOMIC_POSITIONS angstrom
Ba 0.0000 0.0000 0.0000
Ni 0.0000 0.0000 2.8781
Pt 0.0000 0.0000 7.6637
CELL_PARAMETERS angstrom
-1.7269 1.7366 5.3384
1.7269 -1.7366 5.3384
1.7269 1.7366 -5.3384
```

Computed properties:
Energy of formation from the pure elements, meV per atom: -100
Mass density, g/cm3: 10.1

Record 2
Ba2NiPt at its PBEsol-relaxed geometry, computed with meta-GGA SCAN. Values from VASP.

```
&SYSTEM
  ibrav = 0, nat = 4, ntyp = 3
/
ATOMIC_SPECIES
Ba 137.33 Ba.upf
Ni 58.69 Ni.upf
Pt 195.08 Pt.upf
ATOMIC_POSITIONS angstrom
Ba 0.0000 0.0000 1.8644
Ba 0.0000 0.0000 5.6555
Ni 1.8799 1.8799 3.7599
Pt 1.8799 1.8799 0.0000
CELL_PARAMETERS angstrom
3.7597 0.0000 0.0000
0.0000 3.7597 0.0000
0.0000 0.0000 7.5199
```

Computed properties:
Energy of formation from the pure elements, meV per atom: -188
Mass density, g/cm3: 8.3